Here is a relaxed structure of Ac2AlNiO6 from the Alexandria database. Energies are from GGA+U.

Cell: 5.5406 5.5406 7.8494 Å, 90.00 90.00 90.00°
Last column: magnetic moment on the atom in μB.
Sites, in units of the cell vectors:
O 0.2557 0.2443 0.5001  -0.08
O 0.4998 0.0001 0.2563  -0.07
O 0.7443 0.7557 0.4999  -0.08
O 0.2443 0.2557 0.9999  -0.08
O 0.5002 0.9999 0.7437  -0.07
O 0.7557 0.7443 0.0001  -0.08
O 0.2443 0.7443 0.9999  -0.08
O 0.7443 0.2443 0.4999  -0.08
O 0.7557 0.2557 0.0001  -0.08
O 0.9998 0.4999 0.7563  -0.07
O 0.0002 0.5001 0.2437  -0.07
O 0.2557 0.7557 0.5001  -0.08
Al 0.5000 0.0000 0.5000  0.02
Al 0.0000 0.5000 0.0000  0.02
Ac 0.0000 0.0000 0.2500  0.00
Ac 0.0000 0.0000 0.7500  0.00
Ac 0.5000 0.5000 0.7500  0.00
Ac 0.5000 0.5000 0.2500  0.00
Ni 0.0000 0.5000 0.5000  1.51
Ni 0.5000 0.0000 0.0000  1.51

Summary:
The value obtained for the density of states at the Fermi level is 4.334 states/eV per cell. As for the density: 8.761 g/cm3. Its final energy is -142.0 eV/cell.